An optimized crystal structure of Sc3CuTe8Pb3, computed with GGA-PBE.

abc: 8.550 8.548 8.961
angles: 118.47 90.00 120.00
Positions (direct):
Sc 0.500 0.000 0.500
Sc 0.500 0.500 0.500
Sc 0.000 0.500 0.500
Cu 0.000 0.000 0.500
Te 0.259 0.518 0.277
Te 0.741 0.482 0.723
Te 0.768 0.536 0.291
Te 0.232 0.464 0.709
Te 0.767 0.023 0.291
Te 0.233 0.977 0.709
Te 0.256 0.023 0.291
Te 0.744 0.977 0.709
Pb 0.000 0.000 0.000
Pb 0.000 0.500 0.000
Pb 0.500 0.500 0.000

Results
formation energy without anion corrections: -14.68 kcal/mol of atoms
space-group type: C2/m, No. 12